Record 1
The following is a PBE calculation of P2Ru3 after structural relaxation, from Alexandria.

Spin magnetization   0.0 μB/f.u.
Calculated formation energy   -274 meV/atom

Geometry as POSCAR:
```
P2Ru3
1.0
-2.380 -0.361 2.990
1.353 -5.418 0.423
5.256 3.543 4.613
P Ru
4 6
Cartesian
4.785 -1.443 4.867
-0.556 -0.794 3.157
2.198 -2.824 2.641
2.031 0.587 5.384
1.927 -0.558 2.699
2.301 -1.679 5.326
2.701 1.951 3.618
1.528 -4.188 4.406
1.307 -4.812 1.691
2.922 2.576 6.334
```

Record 2
The following is a PBE calculation of PRu2 after structural relaxation, from Alexandria.

Spin magnetization   0.0 μB/f.u.
Calculated formation energy   -408 meV/atom

Geometry as POSCAR:
```
PRu2
1.0
-2.022 -0.097 3.326
1.302 -5.713 0.625
5.795 1.712 3.573
P Ru
4 8
Cartesian
4.975 0.072 4.166
1.067 -0.835 4.043
0.100 -4.169 3.357
4.008 -3.263 3.481
5.957 -3.367 4.663
1.759 -3.000 4.400
-0.882 -0.731 2.861
3.316 -1.098 3.123
2.792 -5.060 2.689
4.064 -1.560 5.843
2.284 0.962 4.834
1.011 -2.537 1.680
```

Record 3
The following is a PBE calculation of P2Ru after structural relaxation, from Alexandria.

Spin magnetization   0.0 μB/f.u.
Calculated formation energy   -253 meV/atom

Geometry as POSCAR:
```
P2Ru
1.0
1.053 -3.693 4.210
2.029 -5.042 1.713
5.628 -0.279 2.349
P Ru
4 2
Cartesian
4.295 -0.822 2.122
5.882 -3.501 4.189
2.828 -5.514 4.083
4.415 -8.192 6.151
6.277 -6.739 6.092
2.434 -2.276 2.180
```

Record 4
The following is a PBE calculation of P2Ru after structural relaxation, from Alexandria.

Spin magnetization   0.0 μB/f.u.
Calculated formation energy   296 meV/atom

Geometry as POSCAR:
```
P2Ru
1.0
-0.038 0.906 4.213
-3.605 -1.333 -1.950
1.227 -4.864 1.057
P Ru
4 2
Cartesian
0.000 0.000 0.000
0.614 -2.432 0.529
-2.109 -1.803 0.369
-0.307 -3.488 2.952
-0.920 -1.056 2.423
-1.496 -4.235 0.897
```

Record 5
The following is a PBE calculation of PRu2 after structural relaxation, from Alexandria.

Spin magnetization   0.0 μB/f.u.
Calculated formation energy   -57 meV/atom

Geometry as POSCAR:
```
PRu2
1.0
-0.270 0.612 -4.047
-3.399 -0.064 2.297
0.430 5.390 0.787
P Ru
2 4
Cartesian
-2.248 1.509 0.379
-0.990 4.429 -1.343
0.000 0.000 0.000
0.215 2.695 0.393
-2.033 4.204 0.772
-1.206 1.734 -1.736
```

Record 6
The following is a PBE calculation of P2Ru after structural relaxation, from Alexandria.

Spin magnetization   0.0 μB/f.u.
Calculated formation energy   52 meV/atom

Geometry as POSCAR:
```
P2Ru
1.0
3.716 4.629 -0.216
-5.477 -2.178 0.738
0.776 -0.411 4.545
P Ru
4 2
Cartesian
2.311 2.850 3.399
-0.830 0.524 3.725
-3.296 -0.810 1.668
-0.155 1.516 1.342
-3.788 -1.667 4.032
2.803 3.707 1.035
```

Record 7
The following is a PBE calculation of P2Ru after structural relaxation, from Alexandria.

Spin magnetization   0.0 μB/f.u.
Calculated formation energy   -63 meV/atom

Geometry as POSCAR:
```
P2Ru
1.0
-4.000 5.417 -1.621
2.886 -3.799 -5.020
-2.366 -1.757 -0.031
P Ru
6 3
Cartesian
-1.148 1.554 -0.465
0.828 -1.090 -1.441
-0.794 1.154 -4.736
-3.549 2.325 -0.974
0.524 -3.125 -2.985
-1.638 -0.217 -2.729
0.591 -0.727 -3.887
-1.704 2.345 -2.754
-1.183 -0.878 -0.016
```

Record 8
The following is a PBE calculation of P3Ru after structural relaxation, from Alexandria.

Spin magnetization   0.0 μB/f.u.
Calculated formation energy   275 meV/atom
Offset from the most stable computed form   798 meV/atom

Geometry as POSCAR:
```
P3Ru
1.0
5.840 -0.014 0.039
3.781 4.451 -0.039
-4.477 -2.943 2.326
P Ru
3 1
Cartesian
0.534 0.246 0.000
3.087 -0.369 1.182
4.276 1.972 0.000
2.058 1.863 1.143
```

Record 9
The following is a PBE calculation of P3Ru after structural relaxation, from Alexandria.

Spin magnetization   0.0 μB/f.u.
Calculated formation energy   -63 meV/atom
Offset from the most stable computed form   461 meV/atom

Geometry as POSCAR:
```
P3Ru
1.0
-1.936 -2.359 2.637
-2.558 -1.894 -2.955
0.670 -4.400 -0.388
P Ru
3 1
Cartesian
-2.250 -6.205 0.805
-3.787 -5.301 -0.524
-1.456 -5.767 -1.983
-0.912 -2.687 0.181
```

Record 10
The following is a PBE calculation of P3Ru after structural relaxation, from Alexandria.

Spin magnetization   0.0 μB/f.u.
Calculated formation energy   84 meV/atom
Offset from the most stable computed form   608 meV/atom

Geometry as POSCAR:
```
P3Ru
1.0
4.296 0.000 0.000
0.000 3.622 0.003
0.000 0.732 3.771
P Ru
3 1
Cartesian
0.000 0.151 0.213
2.148 3.265 2.830
0.000 2.026 1.674
2.148 1.088 0.943
```

Record 11
The following is a PBE calculation of P2Ru after structural relaxation, from Alexandria.

Spin magnetization   0.0 μB/f.u.
Calculated formation energy   -18 meV/atom

Geometry as POSCAR:
```
P2Ru
1.0
5.974 0.016 0.000
4.610 3.799 0.000
-5.292 -1.908 2.011
P Ru
2 1
Cartesian
6.719 2.422 0.000
3.864 1.393 0.000
0.000 0.000 0.000
```

Record 12
The following is a PBE calculation of PRu2 after structural relaxation, from Alexandria.

Spin magnetization   0.0 μB/f.u.
Calculated formation energy   -187 meV/atom

Geometry as POSCAR:
```
PRu2
1.0
1.424 4.981 -0.029
-1.424 4.981 -0.029
0.000 3.195 5.795
P Ru
2 4
Cartesian
0.000 5.275 1.626
0.000 7.882 4.111
0.000 1.373 0.135
0.000 10.101 3.492
0.000 3.057 2.245
0.000 11.785 5.602
```

Record 13
The following is a PBE calculation of PRu2 after structural relaxation, from Alexandria.

Spin magnetization   0.0 μB/f.u.
Calculated formation energy   -245 meV/atom

Geometry as POSCAR:
```
PRu2
1.0
1.459 5.194 -0.003
-1.459 5.194 -0.003
0.000 1.281 5.284
P Ru
2 4
Cartesian
0.000 3.749 0.335
0.000 7.921 4.943
0.000 1.270 3.862
0.000 7.629 1.776
0.000 10.399 1.416
0.000 4.040 3.502
```

Record 14
The following is a PBE calculation of PRu4 after structural relaxation, from Alexandria.

Spin magnetization   2.0 μB/f.u.
Calculated formation energy   740 meV/atom
Offset from the most stable computed form   204 meV/atom

Geometry as POSCAR:
```
PRu4
1.0
4.299 0.000 0.000
0.000 4.299 0.000
0.000 0.000 4.299
P Ru
1 4
Cartesian
2.150 2.150 2.150
0.000 0.000 0.000
2.150 0.000 2.150
0.000 2.150 2.150
2.150 2.150 0.000
```

Record 15
The following is a PBE calculation of P3Ru after structural relaxation, from Alexandria.

Spin magnetization   0.0 μB/f.u.
Calculated formation energy   -524 meV/atom
Offset from the most stable computed form   0 meV/atom

Geometry as POSCAR:
```
P3Ru
1.0
5.975 0.000 0.000
1.771 5.648 0.000
2.961 1.954 7.328
P Ru
12 4
Cartesian
6.857 4.398 2.506
3.849 3.205 4.822
3.272 2.278 1.720
7.434 5.324 5.608
6.397 1.911 0.433
4.309 5.691 6.894
5.831 4.953 0.622
4.875 2.649 6.706
4.825 1.966 3.283
5.881 5.636 4.045
2.903 5.309 2.335
7.804 2.293 4.993
7.064 2.014 2.727
3.643 5.588 4.601
7.111 3.432 7.008
3.596 4.170 0.320
```

Record 16
The following is a PBE calculation of P2Ru after structural relaxation, from Alexandria.

Spin magnetization   0.0 μB/f.u.
Calculated formation energy   90 meV/atom

Geometry as POSCAR:
```
P2Ru
1.0
4.275 0.000 0.000
-2.138 3.703 0.000
0.000 0.000 2.697
P Ru
2 1
Cartesian
2.138 1.234 2.696
0.000 2.468 0.001
4.275 0.000 0.000
```

Record 17
The following is a PBE calculation of P3Ru after structural relaxation, from Alexandria.

Spin magnetization   0.0 μB/f.u.
Calculated formation energy   443 meV/atom
Offset from the most stable computed form   967 meV/atom

Geometry as POSCAR:
```
P3Ru
1.0
2.764 0.000 0.000
-1.326 2.425 0.000
0.000 0.000 8.711
P Ru
3 1
Cartesian
0.000 0.000 0.221
0.719 1.212 6.533
0.000 0.000 4.135
0.719 1.212 2.178
```

Record 18
The following is a PBE calculation of P2Ru after structural relaxation, from Alexandria.

Spin magnetization   0.0 μB/f.u.
Calculated formation energy   -229 meV/atom

Geometry as POSCAR:
```
P2Ru
1.0
4.736 0.000 0.000
0.000 2.918 0.000
0.000 0.000 6.945
P Ru
4 2
Cartesian
3.481 0.000 2.890
1.255 0.000 2.890
3.481 1.459 6.362
1.255 1.459 6.362
0.000 0.000 4.969
0.000 1.459 1.497
```

Record 19
The following is a PBE calculation of P2Ru after structural relaxation, from Alexandria.

Spin magnetization   0.0 μB/f.u.
Calculated formation energy   -119 meV/atom

Geometry as POSCAR:
```
P2Ru
1.0
10.770 0.000 0.000
0.000 3.149 0.000
0.000 0.000 5.247
P Ru
8 4
Cartesian
3.765 0.000 0.118
7.004 0.000 0.118
3.765 1.575 2.741
7.004 1.575 2.741
9.150 0.000 2.741
1.619 0.000 2.741
9.150 1.575 0.118
1.619 1.575 0.118
0.000 0.000 4.510
0.000 1.575 1.887
5.385 0.000 1.887
5.385 1.575 4.510
```

Record 20
The following is a PBE calculation of P2Ru after structural relaxation, from Alexandria.

Spin magnetization   0.0 μB/f.u.
Calculated formation energy   -29 meV/atom

Geometry as POSCAR:
```
P2Ru
1.0
3.791 0.000 0.000
0.000 3.014 0.000
-1.418 0.000 4.304
P Ru
2 1
Cartesian
2.502 1.507 0.677
-0.690 0.000 2.201
1.140 1.507 2.738
```